HfSn2N, relaxed, DFT PBE-GGA; ρ = 9.1 g/cm3; N(E_F) = 1.978 states/eV/f.u.; formation energy from raw total energies = 386 meV/atom
1.0
-3.451 3.451 3.305
3.451 -3.451 3.305
3.451 3.451 -3.305
Hf Sn N
2 4 2
Cartesian
0.000 0.000 0.000
0.000 3.451 1.652
1.726 -1.171 2.479
2.280 1.726 0.826
1.726 4.623 -0.826
1.171 1.726 4.131
3.451 0.000 1.652
0.000 0.000 3.305